{
  "formula": "SmPd2Pt",
  "functional": "PBE",
  "state": "optimized geometry",
  "lattice_angstrom": [[4.7174, 0.0000, 0.0000], [2.3587, 4.0854, 0.0000], [2.3587, 1.3618, 3.8518]],
  "species": ["Pd", "Pd", "Sm", "Pt"],
  "frac_coords": [[0.7500, 0.7500, 0.7500], [0.2500, 0.2500, 0.2500], [0.0000, 0.0000, 0.0000], [0.5000, 0.5000, 0.5000]],
  "dos_ef_per_ev_fu": 1.537,
  "m_tot_mub_per_fu": 0.00,
  "formation_enthalpy_0k_ev_per_fu": -2.76,
  "mass_density_g_cm3": 12.49
}

{
  "formula": "AcTiNi2P2",
  "functional": "PBE",
  "state": "optimized geometry",
  "lattice_angstrom": [[-1.7974, 3.0558, -1.8451], [-2.1922, -2.8946, 1.6701], [-0.1234, 3.6646, 6.1893]],
  "species": ["Ni", "Ni", "Ac", "Ti", "P", "P"],
  "frac_coords": [[0.6667, 0.3333, 0.3442], [0.3333, 0.6667, 0.6558], [0.0000, 0.0000, 0.0000], [0.0000, 0.0000, 0.5000], [0.3333, 0.6667, 0.2972], [0.6667, 0.3333, 0.7028]],
  "dos_ef_per_ev_fu": 4.266,
  "m_tot_mub_per_fu": 0.00,
  "formation_enthalpy_0k_ev_per_fu": -5.79,
  "mass_density_g_cm3": 7.58
}

{
  "formula": "V4Ru",
  "functional": "PBE",
  "state": "optimized geometry",
  "lattice_angstrom": [[4.5166, 0.0000, 0.0000], [0.0000, 4.5166, 0.0000], [0.0000, 0.0000, 4.5166]],
  "species": ["V", "V", "V", "V", "Ru"],
  "frac_coords": [[0.0000, 0.5000, 0.5000], [0.0000, 0.0000, 0.0000], [0.5000, 0.5000, 0.0000], [0.5000, 0.0000, 0.5000], [0.5000, 0.5000, 0.5000]],
  "dos_ef_per_ev_fu": 8.062,
  "m_tot_mub_per_fu": 4.14,
  "formation_enthalpy_0k_ev_per_fu": 5.83,
  "mass_density_g_cm3": 5.49
}

{
  "formula": "TbLuZnGe",
  "functional": "PBE",
  "state": "optimized geometry",
  "lattice_angstrom": [[-4.6241, 1.8257, 0.2208], [-3.5776, -2.5605, 2.3256], [-1.8224, 1.6428, 4.3295]],
  "species": ["Lu", "Ge", "Tb", "Zn"],
  "frac_coords": [[0.0000, 0.0000, 0.0000], [0.2500, 0.2500, 0.2500], [0.5000, 0.5000, 0.5000], [0.7500, 0.7500, 0.7500]],
  "dos_ef_per_ev_fu": 2.074,
  "m_tot_mub_per_fu": 0.00,
  "formation_enthalpy_0k_ev_per_fu": -2.03,
  "mass_density_g_cm3": 8.99
}